DFT (PBE) results for crystalline MnTeRuI2 at its relaxed geometry.

Cell: 5.5061 5.5061 5.0156 Å, 90.00 90.00 90.00°
Closest atoms and distances in Å follow each position.
Fractional positions:
Mn1 0.5000 0.5000 0.5000  8 I 3.72, 4 Te 3.89
Ru1 0.0000 0.0000 0.0000  2 Te 2.51, 4 I 2.75
I1 0.5000 0.0000 0.0000  2 Ru 2.75
I2 0.0000 0.5000 0.0000  2 Ru 2.75
Te1 0.0000 0.0000 0.5000  2 Ru 2.51

Values from the calculation:
Density of states at the Fermi level, states/eV/atom: 2.71
Total magnetization, μB/f.u.: 0.3
V, Å³ per cell: 152.1
Raw formation energy, eV/atom: 1.273
Energy relative to the lowest polymorph listed for this composition, meV per atom: 0